SrUSbO6 (GGA-PBE, relaxed); M_tot = 0.111 μB/atom; energy relative to the elements, uncorrected = -2.429 eV per atom; E_tot = -7.6338 eV per atom; density = 6929 kg/m3
1.0
-5.109 0.985 -2.275
0.451 -3.113 4.728
-0.810 7.725 5.163
Sr U Sb O
2 2 2 12
direct
0.333 0.667 0.250
0.667 0.333 0.750
0.000 0.000 0.000
0.000 0.000 0.500
0.667 0.333 0.250
0.333 0.667 0.750
0.714 0.648 0.125
0.933 0.286 0.125
0.286 0.933 0.625
0.067 0.714 0.875
0.352 0.286 0.375
0.933 0.648 0.375
0.648 0.933 0.875
0.714 0.067 0.375
0.067 0.352 0.625
0.352 0.067 0.125
0.648 0.714 0.625
0.286 0.352 0.875